1.
ZrN: optimized geometry, PBE-GGA.

Cell lengths 3.1509, 3.1509, 2.9381 Å; angles 90.00, 90.00, 120.00 degrees
Space group P-6m2 (No. 187)
Unique sites:
Zr1 0.0000 0.0000 0.0000 x1
N1 0.6667 0.3333 0.5000 x1

Computed properties:
The calculated volume is 25.3 Å³ per cell.

=====

2.
ZrN: optimized geometry, PBE-GGA.

Cell lengths 8.2851, 8.2851, 3.6539 Å; angles 90.00, 90.00, 120.00 degrees
Space group P6_3/m (No. 176)
Unique sites:
Zr1 0.1177 0.6833 0.2500 x6
N1 0.0354 0.3772 0.2500 x6

Computed properties:
The calculated volume is 217.2 Å³ per cell.

=====

3.
ZrN: optimized geometry, PBE-GGA.

Cell lengths 6.735, 6.735, 6.735 Å; angles 90.00, 90.00, 90.00 degrees
Space group I-43m (No. 217)
Unique sites:
Zr1 0.168 0.168 0.832 x8
N1 0.152 0.152 0.152 x8

Computed properties:
The calculated volume is 305.4 Å³ per cell.

=====

What did we get for formation energy from raw total energies? Answer: -1.32 -1.33 -1.13 eV per atom, in the order shown.
What did we get for magnetic moment? Answer: 0.4 0.0 0.0 μB per formula unit, in the order shown.